Version one
First-principles (PBE) data for a relaxed structure of Au2IBr3, as listed in Alexandria via LeMat-Bulk.

```
Au2IBr3
1.0
3.7321 0.0000 0.0000
0.1017 10.5037 0.0000
0.0500 0.9667 11.8002
Au I Br
4 2 6
direct
0.2358 0.2966 0.0615
0.2417 0.7984 0.3919
0.7583 0.2016 0.6081
0.7642 0.7034 0.9385
0.2367 0.0335 0.3143
0.7633 0.9665 0.6857
0.2547 0.3617 0.5555
0.2601 0.8054 0.0507
0.2683 0.5981 0.8284
0.7317 0.4019 0.1716
0.7399 0.1946 0.9493
0.7453 0.6383 0.4445
```

---

Version two
First-principles (PBE) data for a relaxed structure of Au2IBr3, as listed in Alexandria via LeMat-Bulk.

```
Au2IBr3
1.0
13.0836 -2.0259 0.0000
13.0836 2.0259 0.0000
-2.6475 0.0000 8.3898
Au I Br
4 2 6
direct
0.0228 0.0228 0.1856
0.3041 0.3041 0.6900
0.6959 0.6959 0.3100
0.9772 0.9772 0.8144
0.3076 0.3076 0.9901
0.6924 0.6924 0.0099
0.0721 0.0721 0.8426
0.2876 0.2876 0.3926
0.4104 0.4104 0.7402
0.5896 0.5896 0.2598
0.7124 0.7124 0.6074
0.9279 0.9279 0.1574
```

---

Verdict on stability: version one comes out on top.

---

Version one
First-principles (PBE) data for a relaxed structure of AuI4Br, as listed in Alexandria via LeMat-Bulk.

```
AuI4Br
1.0
8.9834 -3.9977 0.0000
8.9834 3.9977 0.0000
-3.6589 0.0000 7.4506
Au I Br
2 8 2
direct
0.0884 0.0884 0.3007
0.9116 0.9116 0.6993
0.1597 0.6614 0.4575
0.2055 0.7945 0.0000
0.2444 0.2444 0.2882
0.3386 0.8403 0.5425
0.6614 0.1597 0.4575
0.7556 0.7556 0.7118
0.7945 0.2055 0.0000
0.8403 0.3386 0.5425
0.3853 0.3853 0.8307
0.6147 0.6147 0.1693
```

---

Version two
First-principles (PBE) data for a relaxed structure of AuI4Br, as listed in Alexandria via LeMat-Bulk.

```
AuI4Br
1.0
5.8253 0.0000 0.0000
1.0430 9.4773 0.0000
0.5132 0.7972 11.8548
Au I Br
2 8 2
direct
0.0215 0.2068 0.2065
0.9785 0.7932 0.7935
0.1267 0.7528 0.5700
0.1480 0.1586 0.9896
0.2013 0.0266 0.7578
0.2305 0.4406 0.1909
0.7695 0.5594 0.8091
0.7987 0.9734 0.2422
0.8520 0.8414 0.0104
0.8733 0.2472 0.4300
0.0000 0.5000 0.5000
0.5000 0.5000 0.0000
```

---

Verdict on stability: version two comes out on top.

---

Version one
First-principles (PBE) data for a relaxed structure of Au2IBr, as listed in Alexandria via LeMat-Bulk.

```
Au2IBr
1.0
-3.1732 3.1732 6.5071
3.1732 -3.1732 6.5071
3.1732 3.1732 -6.5071
Au I Br
4 2 2
direct
0.1235 0.6250 0.9985
0.3750 0.3735 0.4985
0.6265 0.1250 0.0015
0.8750 0.8765 0.5015
0.0000 0.0000 0.0000
0.7500 0.2500 0.5000
0.2500 0.7500 0.5000
0.5000 0.5000 0.0000
```

---

Version two
First-principles (PBE) data for a relaxed structure of Au2IBr, as listed in Alexandria via LeMat-Bulk.

```
Au2IBr
1.0
7.7336 0.0000 0.0000
0.0000 5.2737 0.0000
-1.4174 0.0000 14.0908
Au I Br
8 4 4
direct
0.0282 0.1831 0.3591
0.0282 0.8169 0.8591
0.2416 0.1999 0.9906
0.2416 0.8001 0.4906
0.7584 0.1999 0.5094
0.7584 0.8001 0.0094
0.9718 0.1831 0.1409
0.9718 0.8169 0.6409
0.2953 0.4817 0.3578
0.2953 0.5183 0.8578
0.7047 0.4817 0.1422
0.7047 0.5183 0.6422
0.2381 0.0805 0.6318
0.2381 0.9195 0.1318
0.7619 0.0805 0.8682
0.7619 0.9195 0.3682
```

---

Verdict on stability: version two comes out on top.

---

Version one
First-principles (PBE) data for a relaxed structure of AuIBr4, as listed in Alexandria via LeMat-Bulk.

```
AuIBr4
1.0
3.9008 -8.5562 0.0000
3.9008 8.5562 0.0000
0.0000 0.0000 7.7343
Au I Br
2 2 8
direct
0.2036 0.7964 0.7500
0.7964 0.2036 0.2500
0.2089 0.2089 0.0000
0.7911 0.7911 0.5000
0.0850 0.4746 0.7630
0.1308 0.3334 0.2720
0.3334 0.1308 0.7280
0.4746 0.0850 0.2370
0.5254 0.9150 0.7370
0.6666 0.8692 0.2280
0.8692 0.6666 0.7720
0.9150 0.5254 0.2630
```

---

Version two
First-principles (PBE) data for a relaxed structure of AuIBr4, as listed in Alexandria via LeMat-Bulk.

```
AuIBr4
1.0
6.3569 0.0000 0.0000
0.0000 5.9781 0.0000
-6.0803 0.0000 12.7838
Au I Br
2 2 8
direct
0.0000 0.0000 0.0000
0.0000 0.5000 0.5000
0.5000 0.0000 0.5000
0.5000 0.5000 0.0000
0.1445 0.2129 0.8874
0.1445 0.2871 0.3874
0.2879 0.1623 0.1650
0.2879 0.3377 0.6650
0.7121 0.6623 0.3350
0.7121 0.8377 0.8350
0.8555 0.7129 0.6126
0.8555 0.7871 0.1126
```

---

Verdict on stability: version two comes out on top.

---

Version one
First-principles (PBE) data for a relaxed structure of Au2I4Br, as listed in Alexandria via LeMat-Bulk.

```
Au2I4Br
1.0
8.0932 0.0000 0.0000
-3.4622 7.3251 0.0000
-1.1876 -1.8059 11.6524
Au I Br
4 8 2
direct
0.0000 0.0000 0.0000
0.0000 0.0000 0.5000
0.0000 0.5000 0.0000
0.5000 0.0000 0.5000
0.1660 0.8023 0.5694
0.1897 0.3318 0.8918
0.2001 0.8359 0.9336
0.3311 0.1898 0.3925
0.6689 0.8102 0.6075
0.7999 0.1641 0.0664
0.8103 0.6682 0.1082
0.8340 0.1977 0.4306
0.4276 0.5718 0.7501
0.5724 0.4282 0.2499
```

---

Version two
First-principles (PBE) data for a relaxed structure of Au2I4Br, as listed in Alexandria via LeMat-Bulk.

```
Au2I4Br
1.0
8.0690 0.0000 0.0000
-3.9457 7.4984 0.0000
-2.9502 -1.6371 10.7862
Au I Br
4 8 2
direct
0.0000 0.0000 0.0000
0.1170 0.5416 0.5495
0.5848 0.6101 0.4259
0.8083 0.5018 0.9179
0.0207 0.2118 0.1747
0.2929 0.3820 0.6980
0.3840 0.5818 0.9500
0.3861 0.2461 0.3429
0.4668 0.7995 0.5357
0.6437 0.2128 0.0117
0.9598 0.7290 0.4183
0.9761 0.7920 0.8222
0.4666 0.7469 0.1728
0.7907 0.2903 0.5530
```

---

Verdict on stability: version one comes out on top.

---

Version one
First-principles (PBE) data for a relaxed structure of AuIBr3, as listed in Alexandria via LeMat-Bulk.

```
AuIBr3
1.0
5.7901 0.0000 0.0000
1.4498 7.9980 0.0000
2.8558 2.8942 10.4672
Au I Br
2 2 6
direct
0.0000 0.0000 0.0000
0.4595 0.8064 0.5128
0.1959 0.0350 0.1837
0.6522 0.8515 0.6884
0.0738 0.3056 0.9724
0.2676 0.7281 0.3497
0.4329 0.1186 0.3991
0.4877 0.4966 0.6195
0.8253 0.0669 0.8062
0.9466 0.6919 0.0673
```

---

Version two
First-principles (PBE) data for a relaxed structure of AuIBr3, as listed in Alexandria via LeMat-Bulk.

```
AuIBr3
1.0
5.3482 0.0000 0.0000
0.0000 5.3482 0.0000
0.0000 0.0000 5.3482
Au I Br
1 1 3
direct
0.0000 0.0000 0.0000
0.5000 0.5000 0.5000
0.0000 0.0000 0.5000
0.0000 0.5000 0.0000
0.5000 0.0000 0.0000
```

---

Version three
First-principles (PBE) data for a relaxed structure of AuIBr3, as listed in Alexandria via LeMat-Bulk.

```
AuIBr3
1.0
9.7235 0.0000 0.0000
0.0000 8.6508 0.0000
-5.9905 0.0000 9.6936
Au I Br
4 4 12
direct
0.1147 0.1690 0.1220
0.1147 0.3310 0.6220
0.8853 0.6690 0.3780
0.8853 0.8310 0.8780
0.4257 0.2486 0.7811
0.4257 0.2514 0.2811
0.5743 0.7486 0.7189
0.5743 0.7514 0.2189
0.0184 0.0944 0.6753
0.0184 0.4056 0.1753
0.1808 0.5884 0.5552
0.1808 0.9116 0.0552
0.4479 0.2368 0.5401
0.4479 0.2632 0.0401
0.5521 0.7368 0.9599
0.5521 0.7632 0.4599
0.8192 0.0884 0.9448
0.8192 0.4116 0.4448
0.9816 0.5944 0.8247
0.9816 0.9056 0.3247
```

---

Verdict on stability: version one comes out on top.

---

Version one
First-principles (PBE) data for a relaxed structure of Au2I6Br, as listed in Alexandria via LeMat-Bulk.

```
Au2I6Br
1.0
5.0619 0.0000 0.0000
-0.0555 9.0964 0.0000
-1.3349 -0.3000 9.0894
Au I Br
2 6 1
direct
0.1135 0.3605 0.3431
0.8865 0.6395 0.6569
0.0993 0.0680 0.2986
0.1296 0.6562 0.4030
0.3858 0.4037 0.1126
0.6142 0.5963 0.8874
0.8704 0.3438 0.5970
0.9007 0.9320 0.7014
0.0000 0.0000 0.0000
```

---

Version two
First-principles (PBE) data for a relaxed structure of Au2I6Br, as listed in Alexandria via LeMat-Bulk.

```
Au2I6Br
1.0
7.6189 -6.4369 0.0000
7.6189 6.4369 0.0000
-0.7338 0.0000 8.6360
Au I Br
4 12 2
direct
0.1106 0.2620 0.1315
0.2620 0.1106 0.6315
0.7380 0.8894 0.3685
0.8894 0.7380 0.8685
0.0595 0.5123 0.2565
0.0700 0.1230 0.4120
0.1230 0.0700 0.9120
0.2312 0.4858 0.7485
0.4858 0.2312 0.2485
0.4877 0.9405 0.2435
0.5123 0.0595 0.7565
0.5142 0.7688 0.7515
0.7688 0.5142 0.2515
0.8770 0.9300 0.0880
0.9300 0.8770 0.5880
0.9405 0.4877 0.7435
0.4882 0.5118 0.2500
0.5118 0.4882 0.7500
```

---

Verdict on stability: version one comes out on top.

---

Version one
First-principles (PBE) data for a relaxed structure of AuI3Br, as listed in Alexandria via LeMat-Bulk.

```
AuI3Br
1.0
5.6506 0.0000 0.0000
0.0000 5.6506 0.0000
0.0000 0.0000 5.6506
Au I Br
1 3 1
direct
0.0000 0.0000 0.0000
0.0000 0.0000 0.5000
0.0000 0.5000 0.0000
0.5000 0.0000 0.0000
0.5000 0.5000 0.5000
```

---

Version two
First-principles (PBE) data for a relaxed structure of AuI3Br, as listed in Alexandria via LeMat-Bulk.

```
AuI3Br
1.0
5.8270 0.0000 0.0000
1.4828 7.8604 0.0000
1.2821 2.4583 12.0358
Au I Br
2 6 2
direct
0.0871 0.4848 0.2123
0.9129 0.5152 0.7877
0.0560 0.1625 0.3314
0.2540 0.4163 0.6383
0.3127 0.6392 0.0426
0.6873 0.3608 0.9574
0.7460 0.5837 0.3617
0.9440 0.8375 0.6686
0.4279 0.8945 0.3225
0.5721 0.1055 0.6775
```

---

Version three
First-principles (PBE) data for a relaxed structure of AuI3Br, as listed in Alexandria via LeMat-Bulk.

```
AuI3Br
1.0
5.8718 0.0000 0.0000
0.0000 5.8718 0.0000
0.0000 0.0000 5.8718
Au I Br
1 3 1
direct
0.0000 0.0000 0.0000
0.0000 0.5000 0.5000
0.5000 0.0000 0.5000
0.5000 0.5000 0.0000
0.5000 0.5000 0.5000
```

---

Version four
First-principles (PBE) data for a relaxed structure of AuI3Br, as listed in Alexandria via LeMat-Bulk.

```
AuI3Br
1.0
8.6492 0.0000 0.0000
0.0000 3.8940 0.0000
-0.0550 0.0000 12.1481
Au I Br
2 6 2
direct
0.2455 0.2500 0.2375
0.7545 0.7500 0.7625
0.0288 0.7500 0.2042
0.2475 0.2500 0.4810
0.4619 0.7500 0.2045
0.5381 0.2500 0.7955
0.7525 0.7500 0.5190
0.9712 0.2500 0.7958
0.2557 0.7500 0.8547
0.7443 0.2500 0.1453
```

---

Verdict on stability: version two comes out on top.

---

Version one
First-principles (PBE) data for a relaxed structure of Au2I2Br, as listed in Alexandria via LeMat-Bulk.

```
Au2I2Br
1.0
7.4162 -3.8998 0.0000
7.4162 3.8998 0.0000
-2.3394 0.0000 6.7251
Au I Br
4 4 2
direct
0.0134 0.2021 0.3462
0.2021 0.0134 0.8462
0.7979 0.9866 0.1538
0.9866 0.7979 0.6538
0.0048 0.3668 0.7624
0.3668 0.0048 0.2624
0.6332 0.9952 0.7376
0.9952 0.6332 0.2376
0.3549 0.6451 0.7500
0.6451 0.3549 0.2500
```

---

Version two
First-principles (PBE) data for a relaxed structure of Au2I2Br, as listed in Alexandria via LeMat-Bulk.

```
Au2I2Br
1.0
-3.7098 3.7098 6.9946
3.7098 -3.7098 6.9946
3.7098 3.7098 -6.9946
Au I Br
4 4 2
direct
0.3082 0.0000 0.3082
0.6918 0.0000 0.6918
0.7500 0.5582 0.8082
0.7500 0.9418 0.1918
0.4178 0.1840 0.2338
0.9340 0.2001 0.2662
0.9340 0.6678 0.7338
0.9501 0.1840 0.7662
0.3486 0.8486 0.5000
0.5986 0.5986 0.0000
```

---

Verdict on stability: version one comes out on top.